# TaNiPt

A relaxed structure of TaNiPt (PBEsol, Alexandria via LeMat-Bulk).

Calculated values
**ΔH_f (0 K)**: -0.560 eV/atom
**Excess energy over the best structure of this formula in the dataset**: 7 meV per atom
**DFT total energy**: -9.117 eV/atom
**ρ**: 16.9 g/cm3
**Size of the total moment**: 0.000 μB/f.u.
**Space group**: Imm2

Lattice parameters (Å, degrees): 2.830 3.659 8.228 90.00 90.00 90.00
Sites, in units of the cell vectors:
Ta  0.000  0.000  0.000
Ta  0.500  0.500  0.500
Ni  0.000  0.000  0.658
Ni  0.500  0.500  0.158
Pt  0.000  0.000  0.325
Pt  0.500  0.500  0.825